[1]
BaSc4Se: optimized geometry, GGA-PBE.

Cell lengths 6.289, 6.289, 6.289 Å; angles 60.00, 60.00, 60.00 degrees
Last column: magnetic moment on the atom in μB.
Fractional positions:
Ba 0.000 0.000 0.000  0.13
Sc 0.878 0.374 0.374  0.24
Sc 0.374 0.374 0.878  0.24
Sc 0.374 0.878 0.374  0.24
Sc 0.374 0.374 0.374  0.24
Se 0.750 0.750 0.750  -0.01

Calculated values
Electronic total energy   -4.860 eV/atom
Formation energy (no corrections)   152 kJ/mol of formula units



[2]
K2Tl2PbO6: optimized geometry, GGA-PBE.

Cell lengths 5.927, 5.927, 6.705 Å; angles 99.09, 99.09, 119.21 degrees
Fractional positions:
K 0.829 0.171 0.000
K 0.171 0.829 0.000
Tl 0.334 0.666 0.500
Tl 0.666 0.334 0.500
Pb 0.000 0.000 0.500
O 0.745 0.745 0.683
O 0.057 0.384 0.687
O 0.255 0.255 0.317
O 0.384 0.057 0.687
O 0.943 0.616 0.313
O 0.616 0.943 0.313

Calculated values
Electronic total energy   -4.702 eV/atom
Formation energy (no corrections)   -1093 kJ/mol of formula units



[3]
Y2TaHg: optimized geometry, GGA-PBE.

Cell lengths 5.799, 5.799, 5.799 Å; angles 134.87, 134.87, 65.73 degrees
Fractional positions:
Hg 0.500 0.500 0.000
Ta 0.750 0.250 0.500
Y 0.000 0.000 0.000
Y 0.250 0.750 0.500

Calculated values
Electronic total energy   -6.064 eV/atom
Energy relative to the elements   0.207 eV/atom



[4]
AcGaRu: optimized geometry, GGA-PBE.

Cell lengths 4.665, 6.121, 7.481 Å; angles 46.89, 71.83, 67.60 degrees
Fractional positions:
Ru 0.310 0.035 0.346
Ru 0.690 0.965 0.654
Ga 0.899 0.845 0.357
Ga 0.101 0.155 0.643
Ac 0.624 0.567 0.186
Ac 0.376 0.433 0.814

Calculated values
Electronic total energy   -5.860 eV/atom
Energy relative to the elements   -0.389 eV/atom



[5]
Co2As: optimized geometry, GGA-PBE.

Cell lengths 8.754, 8.754, 3.975 Å; angles 90.00, 90.00, 162.57 degrees
Last column: magnetic moment on the atom in μB.
Fractional positions:
Co 0.081 0.919 0.750  1.31
Co 0.461 0.539 0.750  1.45
Co 0.539 0.461 0.250  1.45
Co 0.919 0.081 0.250  1.31
As 0.840 0.160 0.750  -0.02
As 0.160 0.840 0.250  -0.02

Calculated values
Electronic total energy   -6.257 eV/atom
Energy relative to the elements   0.030 eV/atom



[6]
SrCr2Re: optimized geometry, GGA-PBE.

Cell lengths 4.692, 4.692, 4.692 Å; angles 60.00, 60.00, 60.00 degrees
Last column: magnetic moment on the atom in μB.
Fractional positions:
Cr 0.000 0.000 0.000  3.33
Cr 0.750 0.750 0.750  -2.61
Re 0.500 0.500 0.500  0.97
Sr 0.250 0.250 0.250  0.12

Calculated values
Electronic total energy   -7.213 eV/atom
Energy relative to the elements   1.131 eV/atom